Density functional theory data (PBE with a Hubbard U) for an optimized crystal structure of BaAcVO5.

Geometry as extended XYZ:
```
16
Lattice="-3.920 -2.475 4.515 4.744 -4.290 -0.988 3.949 5.950 4.255" Properties=species:S:1:pos:R:3 pbc="T T T"
Ba 2.814 -2.191 1.929
Ba 1.959 1.377 5.854
Ac 1.975 2.975 2.128
Ac 0.000 0.000 0.000
V -0.168 -1.566 3.823
V 4.941 0.752 3.960
O 4.859 -2.619 0.630
O -0.086 1.805 7.153
O -1.346 -2.777 4.328
O 6.119 1.963 3.455
O -0.711 0.004 4.411
O 5.483 -0.819 3.372
O 1.435 -1.893 4.436
O 3.338 1.079 3.347
O 0.001 -1.611 2.085
O 4.772 0.797 5.698
```

Properties
As for the total DFT energy (no corrections): -7.476 eV per atom. The calculation puts the total moment at 0.00 μB per atom.